Material: Li3WO
Method: DFT, GGA+U
State: relaxed

It has space group Pm-3m (No. 221), with a = 5.122 Å, b = 5.122 Å, c = 5.122 Å, α = 90.00°, β = 90.00° and γ = 90.00°. The distinct sites, in fractional coordinates, are Li at (0.000, 0.000, 0.500), W at (0.000, 0.000, 0.000) and O at (0.500, 0.500, 0.500).

The calculation puts the total magnetic moment at 5.00 μB per formula unit. The calculation puts the polymorph energy (0 for the lowest one) at 1.422 eV per atom. For the total DFT energy (no corrections), the calculation gives -12.07 eV/f.u.